DFT (PBE-GGA) results for crystalline NbNiH2 at its relaxed geometry.

Lattice parameters (Å, degrees): 3.771 3.490 5.349 109.17 90.00 90.00
Fractional positions:
Ni (0.750, 0.075, 0.148)
H (0.250, 0.246, 0.489)
H (0.250, 0.440, 0.884)
Nb (0.750, 0.350, 0.701)
Ni (0.250, 0.925, 0.852)
H (0.750, 0.560, 0.116)
Nb (0.250, 0.650, 0.299)
H (0.750, 0.754, 0.511)

Properties
E (eV per cell): -46.33
Total magnetic moment (μB per atom): 0.000
Symmetry: P2_1/m (11)